Entry 1:
A plane-wave DFT calculation with PBE was carried out for an optimized crystal structure of ErHg2Pd8.

Output
For the density of states at the Fermi level, the calculation gives 0.338 states/eV/atom. The formation energy from the elements is -4.4 eV/f.u. For the magnetic moment, the calculation gives 0.00 μB/f.u. As for the total energy: -51.09 eV/cell. The value obtained for the density is 12.55 g/cm3. The distance to the lowest polymorph of the same formula comes out at 0.00 eV per formula unit. The crystal system is monoclinic.

a b c (Å): 7.5916 7.5916 6.4086
angles (deg): 104.58 104.58 31.80
Last column: nearest neighbours and their distance in Å.
Fractional coordinates of all 11 atoms:
1 Er 0.0000 0.0000 0.0000  12 Pd 2.83-2.90
2 Hg 0.2755 0.2755 0.3520  10 Pd 2.81-2.96, 2 Hg 3.04
3 Hg 0.7245 0.7245 0.6480  10 Pd 2.81-2.96, 2 Hg 3.04
4 Pd 0.0900 0.0900 0.4579  8 Pd 2.82-2.93, 1 Er 2.88, 3 Hg 2.90-2.96
5 Pd 0.1801 0.1801 0.9110  3 Hg 2.81-2.86, 1 Er 2.83, 8 Pd 2.86-2.93
6 Pd 0.3637 0.3637 0.8192  7 Pd 2.83-2.93, 2 Er 2.90, 3 Hg 2.91-2.93
7 Pd 0.4583 0.4583 0.2778  9 Pd 2.79-2.93, 1 Hg 2.83, 2 Er 2.90
8 Pd 0.5417 0.5417 0.7222  9 Pd 2.79-2.93, 1 Hg 2.83, 2 Er 2.90
9 Pd 0.6363 0.6363 0.1808  7 Pd 2.83-2.93, 2 Er 2.90, 3 Hg 2.91-2.93
10 Pd 0.8199 0.8199 0.0890  3 Hg 2.81-2.86, 1 Er 2.83, 8 Pd 2.86-2.93
11 Pd 0.9100 0.9100 0.5421  8 Pd 2.82-2.93, 1 Er 2.88, 3 Hg 2.90-2.96


Entry 2:
A plane-wave DFT calculation with PBE was carried out for an optimized crystal structure of MgZn5Pd2.

Output
For the density of states at the Fermi level, the calculation gives 0.168 states/eV/atom. The formation energy from the elements is -2.9 eV/f.u. For the magnetic moment, the calculation gives 0.00 μB/f.u. As for the total energy: -42.43 eV/cell. The value obtained for the density is 7.86 g/cm3. The distance to the lowest polymorph of the same formula comes out at 0.00 eV per formula unit. The crystal system is orthorhombic.

a b c (Å): 5.5403 11.0296 3.9031
angles (deg): 90.00 90.00 90.00
Last column: nearest neighbours and their distance in Å.
Fractional coordinates of all 16 atoms:
1 Mg 0.0000 0.0000 0.0000  4 Pd 2.75, 8 Zn 2.77-2.82
2 Mg 0.5000 0.5000 0.0000  4 Pd 2.75, 8 Zn 2.77-2.82
3 Zn 0.0000 0.5000 0.0000  6 Zn 2.69-2.74, 2 Mg 2.77, 4 Pd 2.80
4 Zn 0.0030 0.2557 0.0000  7 Zn 2.69-2.80, 4 Pd 2.74-2.77, 1 Mg 2.82
5 Zn 0.2401 0.6265 0.5000  6 Zn 2.70-2.80, 4 Pd 2.72-2.80, 2 Mg 2.80
6 Zn 0.2599 0.1265 0.5000  6 Zn 2.70-2.80, 4 Pd 2.72-2.80, 2 Mg 2.80
7 Zn 0.4970 0.7557 0.0000  7 Zn 2.69-2.80, 4 Pd 2.74-2.77, 1 Mg 2.82
8 Zn 0.5000 0.0000 0.0000  6 Zn 2.69-2.74, 2 Mg 2.77, 4 Pd 2.80
9 Zn 0.5030 0.2443 0.0000  7 Zn 2.69-2.80, 4 Pd 2.74-2.77, 1 Mg 2.82
10 Zn 0.7401 0.8735 0.5000  6 Zn 2.70-2.80, 4 Pd 2.72-2.80, 2 Mg 2.80
11 Zn 0.7599 0.3735 0.5000  6 Zn 2.70-2.80, 4 Pd 2.72-2.80, 2 Mg 2.80
12 Zn 0.9970 0.7443 0.0000  7 Zn 2.69-2.80, 4 Pd 2.74-2.77, 1 Mg 2.82
13 Pd 0.2414 0.8730 0.5000  10 Zn 2.72-2.80, 2 Mg 2.75
14 Pd 0.2586 0.3730 0.5000  10 Zn 2.72-2.80, 2 Mg 2.75
15 Pd 0.7414 0.6270 0.5000  10 Zn 2.72-2.80, 2 Mg 2.75
16 Pd 0.7586 0.1270 0.5000  10 Zn 2.72-2.80, 2 Mg 2.75